# 1
An optimized crystal structure of K2CrPdF. Source: Alexandria via LeMat-Bulk, functional GGA+U.

abc: 4.8068 5.8543 4.8068
angles: 90.00 90.00 90.00
Atoms (fractional coordinates):
Cr: 0.5000 0.5000 0.5000
K: 0.0000 0.0000 0.5000
K: 0.5000 0.0000 0.0000
Pd: 0.0000 0.5000 0.0000
F: 0.0000 0.0000 0.0000

Summary:
space group	P4/mmm (123)
V	27.1	Å³/atom
spin magnetization	5.13	μB/cell
VASP energy	-18.639	eV per cell



# 2
An optimized crystal structure of K2PmCrF8. Source: Alexandria via LeMat-Bulk, functional GGA+U.

abc: 4.2696 6.1721 7.2334
angles: 90.00 90.00 95.27
Atoms (fractional coordinates):
K: 0.5000 0.5000 0.7676
K: 0.5000 0.5000 0.2324
Pm: 0.0000 0.0000 0.5000
Cr: 0.0000 0.0000 0.0000
F: 0.0814 0.8089 0.2211
F: 0.6188 0.8124 0.0000
F: 0.9186 0.1911 0.2211
F: 0.9186 0.1911 0.7789
F: 0.3812 0.1876 0.0000
F: 0.0814 0.8089 0.7789
F: 0.5305 0.7867 0.5000
F: 0.4695 0.2133 0.5000

Summary:
space group	P2/m (10)
V	15.8	Å³/atom
spin magnetization	3.00	μB/cell
VASP energy	-67.370	eV per cell



# 3
An optimized crystal structure of KPrCrF6. Source: Alexandria via LeMat-Bulk, functional GGA+U.

abc: 7.7441 7.5962 7.5904
angles: 120.03 120.67 90.00
Atoms (fractional coordinates):
K: 0.8392 0.5892 0.6783
K: 0.1608 0.4108 0.3217
Pr: 0.5000 0.0000 0.5000
Pr: 0.0000 0.0000 0.5000
Cr: 0.5000 0.5000 0.0000
Cr: 0.5000 0.0000 0.0000
F: 0.6175 0.8675 0.2351
F: 0.8779 0.1279 0.7558
F: 0.8249 0.1549 0.2648
F: 0.4399 0.6099 0.2648
F: 0.4399 0.1549 0.2648
F: 0.8249 0.6099 0.2648
F: 0.3825 0.1325 0.7649
F: 0.1221 0.8721 0.2442
F: 0.1751 0.8451 0.7352
F: 0.5601 0.3901 0.7352
F: 0.5601 0.8451 0.7352
F: 0.1751 0.3901 0.7352

Summary:
space group	Imma (74)
V	17.4	Å³/atom
spin magnetization	8.00	μB/cell
VASP energy	-107.706	eV per cell



# 4
An optimized crystal structure of KCr2PtF. Source: Alexandria via LeMat-Bulk, functional GGA+U.

abc: 4.9225 6.3088 4.9225
angles: 90.00 90.00 90.00
Atoms (fractional coordinates):
Cr: 0.0000 0.0000 0.5000
Cr: 0.5000 0.0000 0.0000
K: 0.5000 0.5000 0.5000
Pt: 0.0000 0.0000 0.0000
F: 0.0000 0.5000 0.0000

Summary:
space group	P4/mmm (123)
V	30.6	Å³/atom
spin magnetization	9.43	μB/cell
VASP energy	-23.448	eV per cell



# 5
An optimized crystal structure of KPuCrF6. Source: Alexandria via LeMat-Bulk, functional GGA+U.

abc: 6.0215 6.0215 10.7045
angles: 90.00 90.00 120.00
Atoms (fractional coordinates):
K: 0.0000 0.0000 0.0000
K: 0.0000 0.0000 0.5000
Pu: 0.3333 0.6667 0.2500
Pu: 0.6667 0.3333 0.7500
Cr: 0.6667 0.3333 0.2500
Cr: 0.3333 0.6667 0.7500
F: 0.6463 0.6259 0.1459
F: 0.9796 0.3537 0.1459
F: 0.3537 0.9796 0.6459
F: 0.0204 0.6463 0.8541
F: 0.3741 0.3537 0.3541
F: 0.9796 0.6259 0.3541
F: 0.6259 0.9796 0.8541
F: 0.6463 0.0204 0.3541
F: 0.0204 0.3741 0.6459
F: 0.3741 0.0204 0.1459
F: 0.6259 0.6463 0.6459
F: 0.3537 0.3741 0.8541

Summary:
space group	P-31c (163)
V	18.7	Å³/atom
spin magnetization	10.00	μB/cell
VASP energy	-117.848	eV per cell



# 6
An optimized crystal structure of K2RbCrF8. Source: Alexandria via LeMat-Bulk, functional GGA+U.

abc: 5.4668 5.0336 8.0207
angles: 79.45 90.96 89.60
Atoms (fractional coordinates):
K: 0.5046 0.3923 0.8070
K: 0.4954 0.6077 0.1930
Rb: 0.0000 0.0000 0.5000
Cr: 0.0000 0.0000 0.0000
F: 0.9941 0.7331 0.1999
F: 0.7389 0.8422 0.9051
F: 0.7839 0.2033 0.1002
F: 0.0059 0.2669 0.8001
F: 0.2611 0.1578 0.0949
F: 0.2161 0.7967 0.8998
F: 0.5043 0.6995 0.5051
F: 0.4957 0.3005 0.4949

Summary:
space group	P-1 (2)
V	18.1	Å³/atom
spin magnetization	3.00	μB/cell
VASP energy	-55.316	eV per cell



# 7
An optimized crystal structure of K2RbCrF6. Source: Alexandria via LeMat-Bulk, functional GGA+U.

abc: 6.2300 6.5317 8.8838
angles: 90.00 89.61 90.00
Atoms (fractional coordinates):
K: 0.0161 0.9493 0.2564
K: 0.5161 0.5507 0.7564
K: 0.9839 0.0507 0.7436
K: 0.4839 0.4493 0.2436
Rb: 0.5000 0.0000 0.0000
Rb: 0.0000 0.5000 0.5000
Cr: 0.5000 0.0000 0.5000
Cr: 0.0000 0.5000 0.0000
F: 0.2561 0.6632 0.0433
F: 0.7561 0.8368 0.5433
F: 0.7439 0.3368 0.9567
F: 0.2439 0.1632 0.4567
F: 0.3514 0.7554 0.4240
F: 0.8514 0.7446 0.9240
F: 0.6486 0.2446 0.5760
F: 0.1486 0.2554 0.0760
F: 0.8897 0.5617 0.2021
F: 0.3897 0.9383 0.7021
F: 0.1103 0.4383 0.7979
F: 0.6103 0.0617 0.2979

Summary:
space group	P2_1/c (14)
V	18.1	Å³/atom
spin magnetization	6.00	μB/cell
VASP energy	-100.777	eV per cell



# 8
An optimized crystal structure of KRb4Cr3F12. Source: Alexandria via LeMat-Bulk, functional GGA+U.

abc: 7.5787 7.5787 7.5787
angles: 109.47 109.47 109.47
Atoms (fractional coordinates):
K: 0.0000 0.0000 0.0000
Rb: 0.5000 0.5000 0.5000
Rb: 0.0000 0.0000 0.5000
Rb: 0.5000 0.0000 0.0000
Rb: 0.0000 0.5000 0.0000
Cr: 0.5000 0.0000 0.5000
Cr: 0.5000 0.5000 0.0000
Cr: 0.0000 0.5000 0.5000
F: 0.2500 0.5000 0.7500
F: 0.7209 0.0000 0.7209
F: 0.2791 0.0000 0.2791
F: 0.7500 0.5000 0.2500
F: 0.7209 0.7209 0.0000
F: 0.2791 0.2791 0.0000
F: 0.7500 0.2500 0.5000
F: 0.2500 0.7500 0.5000
F: 0.5000 0.2500 0.7500
F: 0.0000 0.7209 0.7209
F: 0.5000 0.7500 0.2500
F: 0.0000 0.2791 0.2791

Summary:
space group	Im-3m (229)
V	16.8	Å³/atom
spin magnetization	11.00	μB/cell
VASP energy	-104.836	eV per cell



# 9
An optimized crystal structure of K2RbCrF6. Source: Alexandria via LeMat-Bulk, functional GGA+U.

abc: 6.4504 6.4504 6.4504
angles: 60.00 60.00 60.00
Atoms (fractional coordinates):
Cr: 0.0000 0.0000 0.0000
K: 0.7500 0.7500 0.7500
K: 0.2500 0.2500 0.2500
Rb: 0.5000 0.5000 0.5000
F: 0.2134 0.7866 0.7866
F: 0.7866 0.2134 0.7866
F: 0.2134 0.7866 0.2134
F: 0.7866 0.7866 0.2134
F: 0.7866 0.2134 0.2134
F: 0.2134 0.2134 0.7866

Summary:
space group	Fm-3m (225)
V	19.0	Å³/atom
spin magnetization	3.00	μB/cell
VASP energy	-49.881	eV per cell



# 10
An optimized crystal structure of KRb2CrF5. Source: Alexandria via LeMat-Bulk, functional GGA+U.

abc: 4.4588 6.1688 7.4990
angles: 114.29 107.29 90.00
Atoms (fractional coordinates):
K: 0.0000 0.5000 0.0000
Rb: 0.2107 0.2107 0.4215
Rb: 0.7893 0.7893 0.5785
Cr: 0.5000 0.0000 0.0000
F: 0.6160 0.8809 0.2321
F: 0.3840 0.1191 0.7679
F: 0.3840 0.6488 0.7679
F: 0.6160 0.3512 0.2321
F: 0.0000 0.0000 0.0000

Summary:
space group	Immm (71)
V	19.7	Å³/atom
spin magnetization	4.00	μB/cell
VASP energy	-43.725	eV per cell